Material: PaBeGe
Method: DFT, PBE
State: relaxed

a b c (Å): 3.925 4.787 3.925
angles (deg): 65.80 90.00 114.20
Positions (direct):
Be  0.075  0.149  0.925
Pa  0.717  0.434  0.283
Ge  0.358  0.717  0.642

## Properties
The calculation puts the excess energy over the best structure of this formula in the dataset at 0.696 eV per atom. The total energy comes out at -5.68 eV/atom. The calculation puts the volume at 20.0 Å³/atom. Its density of states at the Fermi level is 1.350 states/eV/atom.

***

Material: Pa3Be2Ge4
Method: DFT, PBE
State: relaxed

a b c (Å): 3.967 5.722 8.036
angles (deg): 98.62 90.00 110.29
Positions (direct):
Pa  0.665  0.330  0.664
Pa  0.000  0.000  0.000
Pa  0.335  0.670  0.336
Be  0.609  0.219  0.287
Be  0.391  0.781  0.713
Ge  0.714  0.428  0.075
Ge  0.286  0.572  0.925
Ge  0.938  0.877  0.620
Ge  0.062  0.123  0.380

## Properties
The total energy comes out at -6.43 eV/atom. The calculation puts the volume at 18.8 Å³/atom. Its density of states at the Fermi level is 1.174 states/eV/atom.

***

Material: Pa2BeGe4Pd3
Method: DFT, PBE
State: relaxed

a b c (Å): 4.118 4.118 10.631
angles (deg): 90.00 90.00 90.00
Positions (direct):
Pa  0.500  0.000  0.262
Pa  0.000  0.500  0.738
Be  0.500  0.500  0.500
Ge  0.500  0.500  0.000
Ge  0.000  0.000  0.000
Ge  0.500  0.000  0.629
Ge  0.000  0.500  0.371
Pd  0.000  0.000  0.500
Pd  0.500  0.000  0.856
Pd  0.000  0.500  0.144

## Properties
The total energy comes out at -6.16 eV/atom. The calculation puts the volume at 18.0 Å³/atom. Its density of states at the Fermi level is 0.760 states/eV/atom.

***

Material: PmPaBeGe
Method: DFT, PBE
State: relaxed

a b c (Å): 4.983 4.983 4.983
angles (deg): 60.00 60.00 60.00
Positions (direct):
Be  0.250  0.250  0.250
Ge  0.750  0.750  0.750
Pa  0.500  0.500  0.500
Pm  0.000  0.000  0.000

## Properties
The total energy comes out at -5.64 eV/atom. The calculation puts the volume at 21.9 Å³/atom. Its density of states at the Fermi level is 1.741 states/eV/atom.

***

Material: Pa2Be4GePt3
Method: DFT, PBE
State: relaxed

a b c (Å): 4.009 4.009 9.598
angles (deg): 90.00 90.00 90.00
Positions (direct):
Pa  0.500  0.000  0.243
Pa  0.000  0.500  0.757
Be  0.500  0.500  0.000
Be  0.000  0.000  0.000
Be  0.500  0.000  0.634
Be  0.000  0.500  0.366
Ge  0.500  0.500  0.500
Pt  0.000  0.000  0.500
Pt  0.500  0.000  0.872
Pt  0.000  0.500  0.128

## Properties
The total energy comes out at -6.31 eV/atom. The calculation puts the volume at 15.4 Å³/atom. Its density of states at the Fermi level is 0.997 states/eV/atom.

***

Material: Pa2BeGe3Pt4
Method: DFT, PBE
State: relaxed

a b c (Å): 4.235 4.235 10.006
angles (deg): 90.00 90.00 90.00
Positions (direct):
Pa  0.500  0.000  0.258
Pa  0.000  0.500  0.742
Be  0.500  0.500  0.500
Ge  0.000  0.000  0.500
Ge  0.500  0.000  0.862
Ge  0.000  0.500  0.138
Pt  0.500  0.500  0.000
Pt  0.000  0.000  0.000
Pt  0.500  0.000  0.621
Pt  0.000  0.500  0.379

## Properties
The total energy comes out at -6.80 eV/atom. The calculation puts the volume at 17.9 Å³/atom. Its density of states at the Fermi level is 0.850 states/eV/atom.

***

Material: PaBeGePt
Method: DFT, PBE
State: relaxed

a b c (Å): 4.020 4.020 8.758
angles (deg): 90.00 90.00 90.00
Positions (direct):
Pa  0.000  0.500  0.783
Pa  0.500  0.000  0.217
Be  0.000  0.500  0.365
Be  0.500  0.000  0.635
Ge  0.500  0.000  0.890
Ge  0.000  0.500  0.110
Pt  0.000  0.000  0.500
Pt  0.500  0.500  0.500

## Properties
The total energy comes out at -6.56 eV/atom. The calculation puts the volume at 17.7 Å³/atom. Its density of states at the Fermi level is 1.144 states/eV/atom.

***

Material: Pa2Be4ReGe3
Method: DFT, PBE
State: relaxed

a b c (Å): 3.951 3.951 9.771
angles (deg): 90.00 90.00 90.00
Positions (direct):
Pa  0.500  0.000  0.257
Pa  0.000  0.500  0.743
Be  0.500  0.500  0.000
Be  0.000  0.000  0.000
Be  0.500  0.000  0.633
Be  0.000  0.500  0.367
Re  0.500  0.500  0.500
Ge  0.000  0.000  0.500
Ge  0.500  0.000  0.869
Ge  0.000  0.500  0.131

## Properties
The total energy comes out at -6.22 eV/atom. The calculation puts the volume at 15.3 Å³/atom. Its density of states at the Fermi level is 0.801 states/eV/atom.